# NaCaMgCrSi4O12, optimized geometry, DFT PBE with a Hubbard U
data_NaCaMgCrSi4O12
_chemical_formula_sum 'Na2 Ca2 Mg2 Cr2 Si8 O24'
_space_group_name_H-M_alt 'C 1 2 1'
_space_group_IT_number 5
_cell_length_a 9.800
_cell_length_b 8.938
_cell_length_c 5.337
_cell_angle_alpha 90.00
_cell_angle_beta 106.92
_cell_angle_gamma 90.00
loop_
_space_group_symop_operation_xyz
'x,y,z'
'-x,y,-z'
'x+1/2,y+1/2,z'
'-x+1/2,y+1/2,-z'
loop_
_atom_site_label
_atom_site_type_symbol
_atom_site_fract_x
_atom_site_fract_y
_atom_site_fract_z
_atom_site_occupancy
Na1 Na 0.000 0.000 0.000 1
Ca1 Ca 0.000 0.599 0.500 1
Mg1 Mg 0.000 0.389 0.000 1
Cr1 Cr 0.000 0.203 0.500 1
Si1 Si 0.210 0.890 0.514 1
Si2 Si 0.212 0.705 0.021 1
O1 O 0.114 0.215 0.880 1
O2 O 0.115 0.380 0.401 1
O3 O 0.137 0.546 0.934 1
O4 O 0.140 0.052 0.441 1
O5 O 0.146 0.782 0.248 1
O6 O 0.152 0.808 0.745 1
# Total magnetization in μB/f.u.: 2.987
# Total DFT energy (no corrections) in eV per cell: -295.443
# Theoretical density in g/cm³: 3.3
# DOS at the Fermi energy in states/eV per atom: 0.00